FeMoO2 after structural relaxation, computed with PBE with a Hubbard U.

The structure in CIF format:
```
data_FeMoO2
_chemical_formula_sum 'Fe4 Mo4 O8'
_cell_length_a 5.458
_cell_length_b 5.458
_cell_length_c 5.458
_cell_angle_alpha 90.00
_cell_angle_beta 90.00
_cell_angle_gamma 90.00
_space_group_name_H-M_alt 'F m -3 m'
_space_group_IT_number 225
_space_group_name_Hall '-F 4 2 3'
loop_
_atom_site_label
_atom_site_type_symbol
_atom_site_fract_x
_atom_site_fract_y
_atom_site_fract_z
Fe1 Fe 0.000 0.000 0.000
Mo1 Mo 0.000 0.000 0.500
O1 O 0.250 0.250 0.250
```

Summary:
- Energy above the most stable polymorph in this dataset: 325 meV/atom
- Total magnetic moment: 1.00 μB/atom